Here is a relaxed CsCoAuO2 crystal from Alexandria. Energies are from PBE with a Hubbard U.

Values from the calculation:
Total energy: -14.0 eV for the cell shown
Mass density: 5.42 g cm⁻³

The structure in CIF format:
```
data_CsCoAuO2
_symmetry_space_group_name_H-M 'P 1'
_symmetry_Int_Tables_number 1
_cell_length_a 4.211
_cell_length_b 7.264
_cell_length_c 4.211
_cell_angle_alpha 90.00
_cell_angle_beta 90.00
_cell_angle_gamma 90.00
loop_
_symmetry_equiv_pos_as_xyz
'x,y,z'
loop_
_atom_site_label
_atom_site_type_symbol
_atom_site_fract_x
_atom_site_fract_y
_atom_site_fract_z
Co1 Co 0.500 0.500 0.500
O1 O 0.500 0.000 0.000
O2 O 0.000 0.000 0.500
Au1 Au 0.000 0.500 0.000
Cs1 Cs 0.000 0.000 0.000
```